1.
The following is a DFT calculation (PBE-GGA) of InRe2Hg after structural relaxation.

Its energy above the most stable polymorph in this dataset is 793.5 meV per atom. The calculation puts the spin magnetization at 0.0 μB per cell. The total energy is -5.89 eV per atom. As for the formation energy: 105 kJ/mol of atoms.

The structure belongs to space group P4/mmm (No. 123); the cell edges are 3.254, 3.254 and 6.578 Å and the angles 90.00°, 90.00° and 90.00°. The asymmetric unit holds In at (0.000, 0.000, 0.000), Re at (0.500, 0.500, 0.248) and Hg at (0.000, 0.000, 0.500).

---

2.
The following is a DFT calculation (PBE-GGA) of Pm2PaN after structural relaxation.

Its energy above the most stable polymorph in this dataset is 314.7 meV per atom. The value obtained for the formation energy (no corrections) is -0.0778 eV/atom. The calculation puts the spin magnetization at 0.0 μB per cell. The total energy is -6.91 eV per atom.

The structure belongs to space group P4/mmm (No. 123); the cell edges are 3.186, 3.186 and 8.457 Å and the angles 90.00°, 90.00° and 90.00°. The asymmetric unit holds Pm at (0.000, 0.000, 0.174), Pa at (0.500, 0.500, 0.500) and N at (0.500, 0.500, 0.000).

---

3.
The following is a DFT calculation (PBE-GGA) of CeSc2Pd9 after structural relaxation.

The calculation puts the spin magnetization at 0.0 μB per cell. The total energy is -6.29 eV per atom. As for the formation energy: -81 kJ/mol of atoms.

The structure belongs to space group P4/mmm (No. 123); the cell edges are 4.068, 4.068 and 12.098 Å and the angles 90.00°, 90.00° and 90.00°. The asymmetric unit holds Ce at (0.000, 0.000, 0.000), Sc at (0.000, 0.000, 0.340), Pd at (0.000, 0.500, 0.172), Pd at (0.000, 0.500, 0.500), Pd at (0.500, 0.500, 0.000) and Pd at (0.500, 0.500, 0.336).